The following is a PBE-GGA calculation of a relaxed TbNiGe crystal, from Alexandria.

Cell lengths 5.5268, 5.5268, 6.9298 Å; angles 51.77, 51.77, 44.07 degrees
Positions (direct):
Tb1 0.4476 0.4476 0.8122
Tb2 0.5524 0.5524 0.1878
Ni1 0.1686 0.1686 0.7782
Ni2 0.8314 0.8314 0.2218
Ge1 0.8291 0.8291 0.6008
Ge2 0.1709 0.1709 0.3992

* density of states at the Fermi level: 3.13 states/eV per cell
* ΔE_f: -0.71 eV per atom
* volume: 109.6 Å³/cell

The following is a PBE-GGA calculation of a relaxed YMg2In crystal, from Alexandria.

Cell lengths 8.3921, 8.3921, 6.7061 Å; angles 51.27, 51.27, 90.00 degrees
Positions (direct):
Y1 0.5000 0.5000 0.0000
Y2 0.2500 0.7500 0.5000
Mg1 0.6594 0.1250 0.2500
Mg2 0.0906 0.6250 0.2500
Mg3 0.3750 0.3406 0.7500
Mg4 0.8750 0.9094 0.7500
In1 0.0000 0.0000 0.0000
In2 0.7500 0.2500 0.5000

* density of states at the Fermi level: 5.94 states/eV per cell
* ΔE_f: 0.03 eV per atom
* volume: 220.0 Å³/cell